--- A ---
DFT (PBE-GGA) results for a relaxed structure of SbPd4.

Output
volume = 92 Å³ per cell

extended XYZ file:
```
5
Lattice="-1.825 1.825 6.875 1.825 -1.825 6.875 1.825 1.825 -6.875" Properties=species:S:1:pos:R:3 pbc="T T T"
Sb 0.000 0.000 0.000
Pd 1.825 0.000 3.437
Pd 0.000 0.000 5.515
Pd 0.000 0.000 8.234
Pd 0.000 1.825 3.437
```

--- B ---
DFT (PBE-GGA) results for a relaxed structure of SbPd4.

Output
volume = 116 Å³ per cell

extended XYZ file:
```
5
Lattice="4.882 0.000 0.000 0.000 4.882 0.000 0.000 0.000 4.882" Properties=species:S:1:pos:R:3 pbc="T T T"
Sb 0.000 0.000 0.000
Pd 0.000 0.000 2.441
Pd 0.000 2.441 0.000
Pd 2.441 0.000 0.000
Pd 2.441 2.441 2.441
```

Of them, A has the highest stability.

--- A ---
DFT (PBE-GGA) results for a relaxed structure of ScSbPd6.

Output
volume = 131 Å³ per cell

extended XYZ file:
```
8
Lattice="5.676 0.000 0.000 0.000 5.676 0.000 0.000 0.000 4.053" Properties=species:S:1:pos:R:3 pbc="T T T"
Sc 0.000 0.000 0.000
Sb 2.838 2.838 0.000
Pd 0.000 2.838 0.000
Pd 1.400 1.400 2.027
Pd 1.400 4.276 2.027
Pd 2.838 0.000 0.000
Pd 4.276 1.400 2.027
Pd 4.276 4.276 2.027
```

--- B ---
DFT (PBE-GGA) results for a relaxed structure of ScSbPd6.

Output
volume = 137 Å³ per cell

extended XYZ file:
```
8
Lattice="5.152 0.000 0.000 -0.391 5.168 0.000 -0.414 -0.447 5.153" Properties=species:S:1:pos:R:3 pbc="T T T"
Sc 0.000 0.000 0.000
Sb 2.174 2.360 2.577
Pd -0.222 1.981 3.864
Pd 0.689 4.638 2.856
Pd 1.996 3.850 0.274
Pd 2.351 0.870 4.879
Pd 3.658 0.082 2.297
Pd 4.569 2.739 1.289
```

Of them, A has the highest stability.

--- A ---
DFT (PBE-GGA) results for a relaxed structure of ScSb2TePd.

Output
volume = 143 Å³ per cell

extended XYZ file:
```
5
Lattice="5.172 0.000 0.000 0.000 5.172 0.000 0.000 0.000 5.364" Properties=species:S:1:pos:R:3 pbc="T T T"
Sc 0.000 0.000 0.000
Sb 0.000 2.586 2.682
Sb 2.586 0.000 2.682
Te 2.586 2.586 0.000
Pd 2.586 2.586 2.682
```

--- B ---
DFT (PBE-GGA) results for a relaxed structure of ScSb2TePd.

Output
volume = 159 Å³ per cell

extended XYZ file:
```
5
Lattice="5.425 0.000 0.000 0.000 5.425 0.000 0.000 0.000 5.392" Properties=species:S:1:pos:R:3 pbc="T T T"
Sc 0.000 0.000 0.000
Sb 0.000 2.713 0.000
Sb 2.713 0.000 0.000
Te 0.000 0.000 2.696
Pd 2.713 2.713 2.696
```

Of them, A has the highest stability.

--- A ---
DFT (PBE-GGA) results for a relaxed structure of ScSbTe2Pd.

Output
volume = 162 Å³ per cell

extended XYZ file:
```
5
Lattice="5.439 0.000 0.000 0.000 5.439 0.000 0.000 0.000 5.470" Properties=species:S:1:pos:R:3 pbc="T T T"
Sc 0.000 0.000 0.000
Sb 0.000 0.000 2.735
Te 0.000 2.719 0.000
Te 2.719 0.000 0.000
Pd 2.719 2.719 2.735
```

--- B ---
DFT (PBE-GGA) results for a relaxed structure of ScSbTe2Pd.

Output
volume = 145 Å³ per cell

extended XYZ file:
```
5
Lattice="5.349 0.000 0.000 0.000 5.349 0.000 0.000 0.000 5.081" Properties=species:S:1:pos:R:3 pbc="T T T"
Sc 0.000 0.000 0.000
Sb 2.675 2.675 0.000
Te 0.000 2.675 2.540
Te 2.675 0.000 2.540
Pd 2.675 2.675 2.540
```

Of them, B has the highest stability.

--- A ---
DFT (PBE-GGA) results for a relaxed structure of Sb2Pd5Se.

Output
volume = 329 Å³ per cell

extended XYZ file:
```
16
Lattice="1.592 -7.624 0.000 1.592 7.624 0.000 0.000 0.000 13.536" Properties=species:S:1:pos:R:3 pbc="T T T"
Sb 1.592 5.701 7.938
Sb 1.592 5.701 12.367
Sb 1.592 -5.701 1.169
Sb 1.592 -5.701 5.599
Pd 1.592 6.935 1.244
Pd 1.592 6.935 5.524
Pd 1.592 4.100 1.116
Pd 1.592 4.100 5.652
Pd 1.592 4.069 10.152
Pd 1.592 -4.069 3.384
Pd 1.592 -4.100 7.884
Pd 1.592 -4.100 12.420
Pd 1.592 -6.935 8.012
Pd 1.592 -6.935 12.292
Se 1.592 5.673 3.384
Se 1.592 -5.673 10.152
```

--- B ---
DFT (PBE-GGA) results for a relaxed structure of Sb2Pd5Se.

Output
volume = 631 Å³ per cell

extended XYZ file:
```
32
Lattice="4.552 0.000 0.000 0.000 15.620 0.000 -1.809 0.000 8.872" Properties=species:S:1:pos:R:3 pbc="T T T"
Sb -0.127 1.368 3.499
Sb -1.031 6.442 7.935
Sb 0.334 11.082 3.408
Sb -0.571 12.349 7.844
Sb 3.314 3.272 1.028
Sb 2.409 4.538 5.464
Sb 3.774 9.178 0.937
Sb 2.869 14.252 5.373
Pd 0.113 3.065 5.590
Pd 1.017 4.745 1.154
Pd 1.041 1.755 1.090
Pd 0.137 6.055 5.526
Pd 0.305 8.828 4.938
Pd 1.209 14.602 0.502
Pd 1.476 10.661 0.979
Pd 0.571 12.769 5.415
Pd 0.606 0.115 5.741
Pd 1.510 7.695 1.305
Pd 1.233 7.925 7.567
Pd 2.137 15.505 3.131
Pd 2.171 2.851 3.457
Pd 1.267 4.959 7.893
Pd 1.534 1.018 8.370
Pd 2.438 6.792 3.934
Pd 2.606 9.565 3.346
Pd 1.702 13.865 7.782
Pd 1.725 10.875 7.718
Pd 2.630 12.555 3.282
Se -0.737 1.475 7.395
Se 0.168 6.335 2.959
Se 2.575 9.285 5.913
Se 3.480 14.145 1.477
```

Of them, B has the highest stability.

--- A ---
DFT (PBE-GGA) results for a relaxed structure of SiSbPd2.

Output
volume = 74 Å³ per cell

extended XYZ file:
```
4
Lattice="2.006 1.158 5.323 -2.006 1.158 5.323 0.000 -2.317 5.323" Properties=species:S:1:pos:R:3 pbc="T T T"
Si 0.000 0.000 0.000
Sb 0.000 0.000 7.985
Pd 0.000 0.000 4.473
Pd 0.000 0.000 11.497
```

--- B ---
DFT (PBE-GGA) results for a relaxed structure of SiSbPd2.

Output
volume = 69 Å³ per cell

extended XYZ file:
```
4
Lattice="0.000 3.259 3.259 3.259 0.000 3.259 3.259 3.259 0.000" Properties=species:S:1:pos:R:3 pbc="T T T"
Si 0.000 0.000 0.000
Sb 3.259 3.259 3.259
Pd 1.629 1.629 1.629
Pd 4.888 4.888 4.888
```

Of them, A has the highest stability.

--- A ---
DFT (PBE-GGA) results for a relaxed structure of Si2SbPd2.

Output
volume = 171 Å³ per cell

extended XYZ file:
```
10
Lattice="7.566 0.000 0.000 0.000 7.566 0.000 0.000 0.000 2.990" Properties=species:S:1:pos:R:3 pbc="T T T"
Si 1.128 2.655 0.000
Si 2.655 6.438 0.000
Si 4.911 1.128 0.000
Si 6.438 4.911 0.000
Sb 0.000 0.000 1.495
Sb 3.783 3.783 1.495
Pd 1.020 4.804 1.495
Pd 2.763 1.020 1.495
Pd 4.804 6.546 1.495
Pd 6.546 2.763 1.495
```

--- B ---
DFT (PBE-GGA) results for a relaxed structure of Si2SbPd2.

Output
volume = 88 Å³ per cell

extended XYZ file:
```
5
Lattice="-1.905 1.905 6.084 1.905 -1.905 6.084 1.905 1.905 -6.084" Properties=species:S:1:pos:R:3 pbc="T T T"
Si 1.905 0.000 3.042
Si 0.000 1.905 3.042
Sb 0.000 0.000 0.000
Pd 0.000 0.000 4.595
Pd 0.000 0.000 7.572
```

--- C ---
DFT (PBE-GGA) results for a relaxed structure of Si2SbPd2.

Output
volume = 88 Å³ per cell

extended XYZ file:
```
5
Lattice="-2.116 2.116 4.911 2.116 -2.116 4.911 2.116 2.116 -4.911" Properties=species:S:1:pos:R:3 pbc="T T T"
Si 0.000 0.000 1.162
Si 0.000 0.000 8.661
Sb 0.000 0.000 4.911
Pd 2.116 0.000 2.456
Pd 0.000 2.116 2.456
```

Of them, C has the highest stability.

--- A ---
DFT (PBE-GGA) results for a relaxed structure of SiSb2TePd.

Output
volume = 137 Å³ per cell

extended XYZ file:
```
5
Lattice="5.156 0.000 0.000 0.000 5.156 0.000 0.000 0.000 5.155" Properties=species:S:1:pos:R:3 pbc="T T T"
Si 0.000 0.000 0.000
Sb 0.000 2.578 0.000
Sb 2.578 0.000 0.000
Te 0.000 0.000 2.577
Pd 2.578 2.578 2.577
```

--- B ---
DFT (PBE-GGA) results for a relaxed structure of SiSb2TePd.

Output
volume = 131 Å³ per cell

extended XYZ file:
```
5
Lattice="5.326 0.000 0.000 0.000 5.326 0.000 0.000 0.000 4.612" Properties=species:S:1:pos:R:3 pbc="T T T"
Si 0.000 0.000 0.000
Sb 0.000 2.663 0.000
Sb 2.663 0.000 0.000
Te 2.663 2.663 2.306
Pd 0.000 0.000 2.306
```

--- C ---
DFT (PBE-GGA) results for a relaxed structure of SiSb2TePd.

Output
volume = 144 Å³ per cell

extended XYZ file:
```
5
Lattice="5.155 0.000 0.000 0.000 5.155 0.000 0.000 0.000 5.406" Properties=species:S:1:pos:R:3 pbc="T T T"
Si 0.000 0.000 0.000
Sb 0.000 2.578 2.703
Sb 2.578 0.000 2.703
Te 2.578 2.578 0.000
Pd 2.578 2.578 2.703
```

Of them, B has the highest stability.

--- A ---
DFT (PBE-GGA) results for a relaxed structure of SmSb2Pd6.

Output
volume = 174 Å³ per cell

extended XYZ file:
```
9
Lattice="5.320 -3.912 0.000 5.320 3.912 0.000 -2.010 0.000 4.182" Properties=species:S:1:pos:R:3 pbc="T T T"
Sm 0.000 0.000 0.000
Sb 2.865 0.000 1.388
Sb 5.764 0.000 2.794
Pd 1.745 1.475 3.423
Pd 4.315 2.139 2.091
Pd 6.885 1.475 0.759
Pd 1.745 -1.475 3.423
Pd 4.315 -2.139 2.091
Pd 6.885 -1.475 0.759
```

--- B ---
DFT (PBE-GGA) results for a relaxed structure of SmSb2Pd6.

Output
volume = 192 Å³ per cell

extended XYZ file:
```
9
Lattice="5.629 0.000 0.000 -2.814 4.874 0.000 0.000 0.000 7.011" Properties=species:S:1:pos:R:3 pbc="T T T"
Sm 0.000 0.000 0.000
Sb 0.000 3.250 3.505
Sb 2.814 1.625 3.505
Pd -1.407 2.437 1.369
Pd -1.407 2.437 5.642
Pd 2.814 0.000 1.369
Pd 2.814 0.000 5.642
Pd 1.407 2.437 1.369
Pd 1.407 2.437 5.642
```

Of them, A has the highest stability.

--- A ---
DFT (PBE-GGA) results for a relaxed structure of SmSb2Pd7.

Output
volume = 192 Å³ per cell

extended XYZ file:
```
10
Lattice="-2.091 2.091 10.963 2.091 -2.091 10.963 2.091 2.091 -10.963" Properties=species:S:1:pos:R:3 pbc="T T T"
Sm 0.000 0.000 0.000
Sb 0.000 0.000 7.199
Sb 0.000 0.000 14.727
Pd 2.091 0.000 2.106
Pd 2.091 0.000 5.481
Pd 2.091 0.000 8.857
Pd 0.000 0.000 10.963
Pd 0.000 2.091 2.106
Pd 0.000 2.091 5.481
Pd 0.000 2.091 8.857
```

--- B ---
DFT (PBE-GGA) results for a relaxed structure of SmSb2Pd7.

Output
volume = 224 Å³ per cell

extended XYZ file:
```
10
Lattice="3.745 -6.494 0.000 3.745 6.494 0.000 0.000 0.000 4.612" Properties=species:S:1:pos:R:3 pbc="T T T"
Sm 0.000 0.000 0.000
Sb 3.745 2.570 2.306
Sb 3.745 -2.570 2.306
Pd 1.356 1.460 2.306
Pd 3.745 3.711 0.000
Pd 1.356 -1.460 2.306
Pd 3.745 0.000 2.306
Pd 6.134 1.460 2.306
Pd 3.745 -3.711 0.000
Pd 6.134 -1.460 2.306
```

Of them, A has the highest stability.

--- A ---
DFT (PBE-GGA) results for a relaxed structure of SmSb2Pd.

Output
volume = 95 Å³ per cell

extended XYZ file:
```
4
Lattice="4.762 0.000 0.000 0.000 4.762 0.000 0.000 0.000 4.168" Properties=species:S:1:pos:R:3 pbc="T T T"
Sm 0.000 0.000 0.000
Sb 0.000 2.381 2.084
Sb 2.381 0.000 2.084
Pd 2.381 2.381 0.000
```

--- B ---
DFT (PBE-GGA) results for a relaxed structure of SmSb2Pd.

Output
volume = 106 Å³ per cell

extended XYZ file:
```
4
Lattice="1.743 1.006 10.096 -1.743 1.006 10.096 0.000 -2.013 10.096" Properties=species:S:1:pos:R:3 pbc="T T T"
Sm 0.000 0.000 0.000
Sb 0.000 0.000 3.141
Sb 0.000 0.000 27.147
Pd 0.000 0.000 15.144
```

Of them, A has the highest stability.